Record 1
! Rb2GaSnHg GGA-PBE optimized geometry; values from VASP
&SYSTEM
  ibrav = 0, nat = 5, ntyp = 4
/
ATOMIC_SPECIES
Rb 85.47 Rb.upf
Ga 69.72 Ga.upf
Hg 200.59 Hg.upf
Sn 118.71 Sn.upf
CELL_PARAMETERS angstrom
6.778 0.000 0.000
0.000 5.075 0.000
0.000 0.000 6.778
ATOMIC_POSITIONS crystal
Rb 0.500 0.000 0.000
Rb 0.000 0.000 0.500
Ga 0.000 0.000 0.000
Hg 0.000 0.500 0.000
Sn 0.500 0.500 0.500
! - calculated volume (A^3/atom) = 46.638
! - ΔE_f (kJ per mole of atoms) = 25.7



Record 2
! Rb2Ga4Sn3Hg GGA-PBE optimized geometry; values from VASP
&SYSTEM
  ibrav = 0, nat = 10, ntyp = 4
/
ATOMIC_SPECIES
Ga 69.72 Ga.upf
Sn 118.71 Sn.upf
Rb 85.47 Rb.upf
Hg 200.59 Hg.upf
CELL_PARAMETERS angstrom
4.944 0.000 0.000
0.000 4.944 0.000
0.000 0.000 11.581
ATOMIC_POSITIONS crystal
Ga 0.500 0.500 0.000
Ga 0.500 0.000 0.629
Ga 0.000 0.000 0.000
Ga 0.000 0.500 0.371
Sn 0.500 0.000 0.873
Sn 0.000 0.000 0.500
Sn 0.000 0.500 0.127
Rb 0.000 0.500 0.753
Rb 0.500 0.000 0.247
Hg 0.500 0.500 0.500
! - calculated volume (A^3/atom) = 28.310
! - ΔE_f (kJ per mole of atoms) = -14.3



Record 3
! RbGa2TcHg GGA-PBE optimized geometry; values from VASP
&SYSTEM
  ibrav = 0, nat = 5, ntyp = 4
/
ATOMIC_SPECIES
Tc 98.00 Tc.upf
Rb 85.47 Rb.upf
Hg 200.59 Hg.upf
Ga 69.72 Ga.upf
CELL_PARAMETERS angstrom
-0.784 2.792 3.981
-4.678 0.668 -1.389
-1.469 -4.429 2.818
ATOMIC_POSITIONS crystal
Tc 0.000 0.000 0.000
Rb 0.500 0.500 0.500
Hg 0.000 0.000 0.500
Ga 0.500 0.000 0.000
Ga 0.000 0.500 0.000
! - calculated volume (A^3/atom) = 26.444
! - ΔE_f (kJ per mole of atoms) = 1.6



Record 4
! RbGaHgTe GGA-PBE optimized geometry; values from VASP
&SYSTEM
  ibrav = 0, nat = 4, ntyp = 4
/
ATOMIC_SPECIES
Ga 69.72 Ga.upf
Rb 85.47 Rb.upf
Te 127.60 Te.upf
Hg 200.59 Hg.upf
CELL_PARAMETERS angstrom
5.787 0.000 0.000
2.894 5.012 0.000
2.894 1.671 4.725
ATOMIC_POSITIONS crystal
Ga 0.500 0.500 0.500
Rb 0.000 0.000 0.000
Te 0.250 0.250 0.250
Hg 0.750 0.750 0.750
! - energy relative to the elements, uncorrected (eV per atom) = -0.30
! - calculated volume (A^3/atom) = 34.261



Record 5
! RbGa2HgTe4 GGA-PBE optimized geometry; values from VASP
&SYSTEM
  ibrav = 0, nat = 8, ntyp = 4
/
ATOMIC_SPECIES
Te 127.60 Te.upf
Rb 85.47 Rb.upf
Hg 200.59 Hg.upf
Ga 69.72 Ga.upf
CELL_PARAMETERS angstrom
7.076 0.000 0.000
3.538 6.546 0.107
3.538 0.643 6.515
ATOMIC_POSITIONS crystal
Te 0.081 0.874 0.507
Te 0.462 0.126 0.493
Te 0.538 0.507 0.874
Te 0.919 0.493 0.126
Rb 0.000 0.000 0.000
Hg 0.500 0.500 0.500
Ga 0.133 0.367 0.367
Ga 0.867 0.633 0.633
! - energy relative to the elements, uncorrected (eV per atom) = -0.26
! - calculated volume (A^3/atom) = 37.660



Record 6
! RbTlGaHg2 GGA-PBE optimized geometry; values from VASP
&SYSTEM
  ibrav = 0, nat = 5, ntyp = 4
/
ATOMIC_SPECIES
Ga 69.72 Ga.upf
Hg 200.59 Hg.upf
Tl 204.38 Tl.upf
Rb 85.47 Rb.upf
CELL_PARAMETERS angstrom
5.438 0.000 0.000
0.000 5.438 0.000
0.000 0.000 5.822
ATOMIC_POSITIONS crystal
Ga 0.000 0.000 0.000
Hg 0.000 0.500 0.000
Hg 0.500 0.000 0.000
Tl 0.000 0.000 0.500
Rb 0.500 0.500 0.500
! - calculated volume (A^3/atom) = 34.436
! - ΔE_f (kJ per mole of atoms) = -4.2



Record 7
! Rb2Tl6GaHg GGA-PBE optimized geometry; values from VASP
&SYSTEM
  ibrav = 0, nat = 20, ntyp = 4
/
ATOMIC_SPECIES
Rb 85.47 Rb.upf
Tl 204.38 Tl.upf
Hg 200.59 Hg.upf
Ga 69.72 Ga.upf
CELL_PARAMETERS angstrom
-6.467 -1.177 2.389
3.300 -8.592 4.699
2.171 5.538 8.603
ATOMIC_POSITIONS crystal
Rb 0.000 0.271 0.783
Rb 0.500 0.729 0.717
Rb 0.000 0.271 0.217
Rb 0.500 0.729 0.283
Tl 0.764 0.020 0.500
Tl 0.000 0.881 0.743
Tl 0.264 0.980 0.000
Tl 0.740 0.542 0.000
Tl 0.240 0.458 0.500
Tl 0.260 0.542 0.000
Tl 0.236 0.020 0.500
Tl 0.500 0.119 0.243
Tl 0.736 0.980 0.000
Tl 0.500 0.119 0.757
Tl 0.760 0.458 0.500
Tl 0.000 0.881 0.257
Hg 0.000 0.708 0.500
Hg 0.500 0.292 0.000
Ga 0.000 0.752 0.000
Ga 0.500 0.248 0.500
! - calculated volume (A^3/atom) = 37.795
! - ΔE_f (kJ per mole of atoms) = 2.1



Record 8
! Rb2TlGaHg GGA-PBE optimized geometry; values from VASP
&SYSTEM
  ibrav = 0, nat = 5, ntyp = 4
/
ATOMIC_SPECIES
Rb 85.47 Rb.upf
Hg 200.59 Hg.upf
Tl 204.38 Tl.upf
Ga 69.72 Ga.upf
CELL_PARAMETERS angstrom
-2.071 -0.343 6.710
4.233 -5.520 1.024
3.851 3.204 1.352
ATOMIC_POSITIONS crystal
Rb 0.500 0.000 0.000
Rb 0.000 0.500 0.000
Hg 0.500 0.500 0.500
Tl 0.000 0.000 0.500
Ga 0.000 0.000 0.000
! - calculated volume (A^3/atom) = 51.299
! - ΔE_f (kJ per mole of atoms) = 3.7



Across the entries above, mass density takes the values 3.99, 5.90, 6.57, 5.86, 5.16, 7.34, 7.33, 4.18 g/cm3, respectively.